MoW3 at its PBEsol-relaxed geometry. Source: Alexandria, functional meta-GGA SCAN.

Properties
- calculated total energy (eV/atom) = -60.9889
- energy above the most stable polymorph in this dataset (meV per atom) = 4.8
- E_form (eV/atom) = -0.002
- calculated density (Mg/m³) = 17.2

Cell and atoms, written as POSCAR:
```
MoW3
1.0
6.294 0.000 0.000
0.000 6.295 0.000
0.000 0.001 6.295
W Mo
12 4
direct
0.250 0.250 0.250
0.750 0.750 0.750
0.000 0.500 0.500
0.000 0.000 0.500
0.250 0.750 0.750
0.250 0.750 0.250
0.750 0.750 0.250
0.750 0.250 0.750
0.500 0.000 0.500
0.500 0.500 0.000
0.250 0.250 0.750
0.000 0.500 0.000
0.750 0.250 0.250
0.000 0.000 0.000
0.500 0.000 0.000
0.500 0.500 0.500
```